1.
! CoW2C, relaxed, DFT GGA-PBE; values from VASP
! magnetization = 0.20 μB per formula unit
! calculated volume = 12.1 A^3/atom
! space-group type = C2/c, No. 15
! total energy = -10.380 eV/atom
&SYSTEM
  ibrav = 0, nat = 24, ntyp = 3
/
ATOMIC_SPECIES
C 12.01 C.upf
Co 58.93 Co.upf
W 183.84 W.upf
ATOMIC_POSITIONS crystal
C 0.649 0.150 0.000
C 0.000 0.500 0.000
C 0.351 0.850 0.000
C 0.299 0.350 0.500
C 0.000 0.000 0.500
C 0.701 0.650 0.500
Co 0.719 0.694 0.250
Co 0.606 0.250 0.250
Co 0.163 0.806 0.250
Co 0.837 0.194 0.750
Co 0.394 0.750 0.750
Co 0.281 0.306 0.750
W 0.938 0.863 0.093
W 0.605 0.528 0.093
W 0.251 0.204 0.127
W 0.082 0.296 0.373
W 0.726 0.972 0.407
W 0.394 0.637 0.407
W 0.606 0.363 0.593
W 0.274 0.028 0.593
W 0.918 0.704 0.627
W 0.749 0.796 0.873
W 0.395 0.472 0.907
W 0.062 0.137 0.907
CELL_PARAMETERS angstrom
-1.236 2.918 3.915
-4.453 -0.649 2.316
6.127 -6.513 10.028


2.
! Co2W4C, relaxed, DFT GGA-PBE; values from VASP
! magnetization = 0.09 μB per formula unit
! calculated volume = 12.9 A^3/atom
! space-group type = Fd-3m, No. 227
! total energy = -10.819 eV/atom
&SYSTEM
  ibrav = 0, nat = 28, ntyp = 3
/
ATOMIC_SPECIES
C 12.01 C.upf
Co 58.93 Co.upf
W 183.84 W.upf
ATOMIC_POSITIONS crystal
C 0.625 0.625 0.125
C 0.625 0.125 0.625
C 0.125 0.625 0.625
C 0.625 0.625 0.625
Co 0.332 0.332 0.004
Co 0.918 0.918 0.246
Co 0.332 0.004 0.332
Co 0.004 0.332 0.332
Co 0.332 0.332 0.332
Co 0.918 0.246 0.918
Co 0.246 0.918 0.918
Co 0.918 0.918 0.918
W 0.125 0.125 0.125
W 0.625 0.125 0.125
W 0.125 0.625 0.125
W 0.689 0.311 0.311
W 0.689 0.689 0.311
W 0.311 0.689 0.311
W 0.561 0.939 0.561
W 0.939 0.561 0.561
W 0.939 0.939 0.561
W 0.125 0.125 0.625
W 0.311 0.311 0.689
W 0.311 0.689 0.689
W 0.689 0.311 0.689
W 0.561 0.561 0.939
W 0.561 0.939 0.939
W 0.939 0.561 0.939
CELL_PARAMETERS angstrom
0.000 5.654 5.654
5.654 0.000 5.654
5.654 5.654 0.000